! Sm7InS5 PBE-GGA relaxed; values from VASP
! * E_form (uncorrected): -1.65 eV/atom
&SYSTEM
  ibrav = 0, nat = 26, ntyp = 3
/
ATOMIC_SPECIES
Sm 150.36 Sm.upf
In 114.82 In.upf
S 32.06 S.upf
ATOMIC_POSITIONS crystal
Sm 0.017 0.983 0.750
Sm 0.136 0.864 0.036
Sm 0.136 0.864 0.464
Sm 0.324 0.676 0.671
Sm 0.324 0.676 0.829
Sm 0.409 0.591 0.109
Sm 0.409 0.591 0.391
Sm 0.591 0.409 0.609
Sm 0.591 0.409 0.891
Sm 0.676 0.324 0.171
Sm 0.676 0.324 0.329
Sm 0.864 0.136 0.536
Sm 0.864 0.136 0.964
Sm 0.983 0.017 0.250
In 0.301 0.699 0.250
In 0.699 0.301 0.750
S 0.044 0.956 0.140
S 0.044 0.956 0.360
S 0.227 0.773 0.570
S 0.227 0.773 0.930
S 0.500 0.500 0.000
S 0.500 0.500 0.500
S 0.773 0.227 0.070
S 0.773 0.227 0.430
S 0.956 0.044 0.640
S 0.956 0.044 0.860
CELL_PARAMETERS angstrom
2.013 -6.687 0.000
2.013 6.687 0.000
0.000 0.000 24.175


! NaMn3Ag PBE-GGA relaxed; values from VASP
! * energy above the lowest structure with this stoichiometry: 0.6447 eV/atom
&SYSTEM
  ibrav = 0, nat = 5, ntyp = 3
/
ATOMIC_SPECIES
Na 22.99 Na.upf
Mn 54.94 Mn.upf
Ag 107.87 Ag.upf
ATOMIC_POSITIONS crystal
Na 0.000 0.000 0.000
Mn 0.000 0.000 0.500
Mn 0.000 0.500 0.000
Mn 0.500 0.000 0.000
Ag 0.500 0.500 0.500
CELL_PARAMETERS angstrom
4.744 0.000 0.000
0.000 4.744 0.000
0.000 0.000 4.744


! Nd4Er5In PBE-GGA relaxed; values from VASP
! * energy above the lowest structure with this stoichiometry: 0.0000 eV/atom
&SYSTEM
  ibrav = 0, nat = 10, ntyp = 3
/
ATOMIC_SPECIES
Nd 144.24 Nd.upf
Er 167.26 Er.upf
In 114.82 In.upf
ATOMIC_POSITIONS crystal
Nd 0.000 0.000 0.103
Nd 0.000 0.000 0.306
Nd 0.000 0.000 0.694
Nd 0.000 0.000 0.897
Er 0.500 0.500 0.000
Er 0.500 0.500 0.208
Er 0.500 0.500 0.413
Er 0.500 0.500 0.587
Er 0.500 0.500 0.792
In 0.000 0.000 0.500
CELL_PARAMETERS angstrom
4.126 0.000 0.000
0.000 4.126 0.000
0.000 0.000 18.479